Version A
Density functional theory data (PBE-GGA) for a relaxed AcTcN crystal.

Spin magnetization = 0.000 Bohr magnetons per cell
DOS at the Fermi energy = 0.75 states/eV per atom

Lattice parameters (Å, degrees): 3.4913 3.4913 5.2932 90.00 90.00 120.00
Space group P3m1 (No. 156)
Asymmetric unit:
Ac 0.0000 0.0000 0.0000 (multiplicity 1)
Tc 0.6667 0.3333 0.4709 (multiplicity 1)
N 0.3333 0.6667 0.4199 (multiplicity 1)


Version B
Density functional theory data (PBE-GGA) for a relaxed AcTcN crystal.

Spin magnetization = 0.001 Bohr magnetons per cell
DOS at the Fermi energy = 1.11 states/eV per atom

Lattice parameters (Å, degrees): 3.545 20.503 3.557 90.00 90.00 90.00
Space group Cmcm (No. 63)
Asymmetric unit:
Ac 0.000 0.105 0.250 (multiplicity 4)
Tc 0.000 0.271 0.250 (multiplicity 4)
N 0.000 0.367 0.250 (multiplicity 4)


Version C
Density functional theory data (PBE-GGA) for a relaxed AcTcN crystal.

Spin magnetization = 0.000 Bohr magnetons per cell
DOS at the Fermi energy = 0.85 states/eV per atom

Lattice parameters (Å, degrees): 3.122 3.122 10.315 90.00 90.00 90.00
Space group I4mm (No. 107)
Asymmetric unit:
Ac 0.000 0.000 0.000 (multiplicity 2)
Tc 0.000 0.000 0.278 (multiplicity 2)
N 0.000 0.000 0.716 (multiplicity 2)


version B is preferred energetically. Next in line: 0.303 eV/atom higher.


Version A
Density functional theory data (PBE-GGA) for a relaxed AcTeN crystal.

Spin magnetization = 0.000 Bohr magnetons per cell
DOS at the Fermi energy = 0.44 states/eV per atom

Lattice parameters (Å, degrees): 6.625 6.626 9.992 90.00 109.23 90.00
Space group C2/m (No. 12)
Asymmetric unit:
Ac 0.171 0.000 0.342 (multiplicity 4)
Te 0.149 0.500 0.297 (multiplicity 4)
N 0.031 0.000 0.061 (multiplicity 4)


Version B
Density functional theory data (PBE-GGA) for a relaxed AcTeN crystal.

Spin magnetization = 0.000 Bohr magnetons per cell
DOS at the Fermi energy = 0.00 states/eV per atom

Lattice parameters (Å, degrees): 4.612 4.617 9.474 84.82 85.47 60.87
Space group P-1 (No. 2)
Asymmetric unit:
Ac 0.182 0.189 0.351 (multiplicity 2)
Te 0.137 0.122 0.851 (multiplicity 2)
N 0.156 0.151 0.615 (multiplicity 2)


version A is preferred energetically. Next in line: 0.120 eV/atom higher.


Version A
Density functional theory data (PBE-GGA) for a relaxed Ac3Te2N crystal.

Spin magnetization = 0.000 Bohr magnetons per cell
DOS at the Fermi energy = 0.52 states/eV per atom

Lattice parameters (Å, degrees): 4.122 6.413 14.318 90.00 90.00 90.00
Space group Immm (No. 71)
Asymmetric unit:
Ac 0.000 0.000 0.000 (multiplicity 2)
Ac 0.000 0.000 0.376 (multiplicity 4)
Te 0.000 0.500 0.317 (multiplicity 4)
N 0.000 0.500 0.000 (multiplicity 2)


Version B
Density functional theory data (PBE-GGA) for a relaxed Ac3Te2N crystal.

Spin magnetization = 0.513 Bohr magnetons per cell
DOS at the Fermi energy = 0.52 states/eV per atom

Lattice parameters (Å, degrees): 13.687 4.311 8.206 90.00 122.15 90.00
Space group Cm (No. 8)
Asymmetric unit:
Ac 0.000 0.000 0.000 (multiplicity 2)
Ac 0.122 0.500 0.496 (multiplicity 2)
Ac 0.329 0.500 0.258 (multiplicity 2)
Te 0.244 0.000 0.896 (multiplicity 2)
Te 0.396 0.000 0.606 (multiplicity 2)
N 0.020 0.000 0.314 (multiplicity 2)


version B is preferred energetically. Next in line: 0.058 eV/atom higher.


Version A
Density functional theory data (PBE-GGA) for a relaxed Ac2ThN3 crystal.

Spin magnetization = 0.000 Bohr magnetons per cell
DOS at the Fermi energy = 0.31 states/eV per atom

Lattice parameters (Å, degrees): 3.814 3.814 16.351 90.00 90.00 90.00
Space group I4/mmm (No. 139)
Asymmetric unit:
Ac 0.000 0.000 0.163 (multiplicity 4)
Th 0.000 0.000 0.500 (multiplicity 2)
N 0.000 0.000 0.000 (multiplicity 2)
N 0.000 0.000 0.352 (multiplicity 4)


Version B
Density functional theory data (PBE-GGA) for a relaxed Ac2ThN3 crystal.

Spin magnetization = 0.000 Bohr magnetons per cell
DOS at the Fermi energy = 0.26 states/eV per atom

Lattice parameters (Å, degrees): 12.199 5.368 7.589 90.00 108.08 90.00
Space group C2/c (No. 15)
Asymmetric unit:
Ac 0.166 0.000 0.083 (multiplicity 8)
Th 0.000 0.500 0.250 (multiplicity 4)
N 0.000 0.001 0.250 (multiplicity 4)
N 0.141 0.500 0.071 (multiplicity 8)


version B is preferred energetically. Next in line: 0.028 eV/atom higher.


Version A
Density functional theory data (PBE-GGA) for a relaxed Ac2TlN crystal.

Spin magnetization = 0.000 Bohr magnetons per cell
DOS at the Fermi energy = 0.51 states/eV per atom

Lattice parameters (Å, degrees): 3.438 3.438 8.539 90.00 90.00 90.00
Space group P4/mmm (No. 123)
Asymmetric unit:
Ac 0.000 0.000 0.187 (multiplicity 2)
Tl 0.500 0.500 0.500 (multiplicity 1)
N 0.500 0.500 0.000 (multiplicity 1)


Version B
Density functional theory data (PBE-GGA) for a relaxed Ac2TlN crystal.

Spin magnetization = 0.000 Bohr magnetons per cell
DOS at the Fermi energy = 0.58 states/eV per atom

Lattice parameters (Å, degrees): 7.733 5.306 11.208 90.00 90.00 90.00
Space group Pnma (No. 62)
Asymmetric unit:
Ac 0.072 0.250 0.211 (multiplicity 4)
Ac 0.149 0.250 0.557 (multiplicity 4)
Tl 0.178 0.250 0.875 (multiplicity 4)
N 0.086 0.750 0.598 (multiplicity 4)


Version C
Density functional theory data (PBE-GGA) for a relaxed Ac2TlN crystal.

Spin magnetization = 1.395 Bohr magnetons per cell
DOS at the Fermi energy = 1.13 states/eV per atom

Lattice parameters (Å, degrees): 3.9125 3.9125 26.2512 90.00 90.00 120.00
Space group R-3m (No. 166, hexagonal axes)
Asymmetric unit:
Ac 0.0000 0.0000 0.2241 (multiplicity 6)
Tl 0.0000 0.0000 0.0000 (multiplicity 3)
N 0.0000 0.0000 0.5000 (multiplicity 3)


version B is preferred energetically. Next in line: 0.047 eV/atom higher.


Version A
Density functional theory data (PBE-GGA) for a relaxed Ac5Tl2N2 crystal.

Spin magnetization = 0.000 Bohr magnetons per cell
DOS at the Fermi energy = 0.68 states/eV per atom

Lattice parameters (Å, degrees): 21.011 7.618 7.462 90.00 90.00 90.00
Space group Ima2 (No. 46)
Asymmetric unit:
Ac 0.008 0.247 0.000 (multiplicity 8)
Ac 0.144 0.539 0.772 (multiplicity 8)
Ac 0.250 0.129 0.872 (multiplicity 4)
Tl 0.109 0.512 0.245 (multiplicity 8)
N 0.000 0.000 0.260 (multiplicity 4)
N 0.250 0.082 0.211 (multiplicity 4)


Version B
Density functional theory data (PBE-GGA) for a relaxed Ac5Tl2N2 crystal.

Spin magnetization = 0.000 Bohr magnetons per cell
DOS at the Fermi energy = 0.61 states/eV per atom

Lattice parameters (Å, degrees): 5.248 5.248 10.497 90.00 90.00 90.00
Space group P4/mmm (No. 123)
Asymmetric unit:
Ac 0.000 0.000 0.000 (multiplicity 1)
Ac 0.000 0.500 0.282 (multiplicity 4)
Tl 0.500 0.500 0.000 (multiplicity 1)
Tl 0.500 0.500 0.500 (multiplicity 1)
N 0.000 0.000 0.241 (multiplicity 2)


version A is preferred energetically. Next in line: 0.041 eV/atom higher.


Version A
Density functional theory data (PBE-GGA) for a relaxed AcTmN crystal.

Spin magnetization = 0.000 Bohr magnetons per cell
DOS at the Fermi energy = 0.90 states/eV per atom

Lattice parameters (Å, degrees): 7.176 3.456 13.858 90.00 90.00 90.00
Space group Pnma (No. 62)
Asymmetric unit:
Ac 0.146 0.250 0.127 (multiplicity 4)
Tm 0.112 0.250 0.417 (multiplicity 4)
N 0.103 0.250 0.578 (multiplicity 4)


Version B
Density functional theory data (PBE-GGA) for a relaxed AcTmN crystal.

Spin magnetization = 0.002 Bohr magnetons per cell
DOS at the Fermi energy = 1.02 states/eV per atom

Lattice parameters (Å, degrees): 3.359 3.359 14.356 90.00 90.00 90.00
Space group I4mm (No. 107)
Asymmetric unit:
Ac 0.000 0.000 0.000 (multiplicity 2)
Tm 0.000 0.000 0.298 (multiplicity 2)
N 0.000 0.000 0.826 (multiplicity 2)


Version C
Density functional theory data (PBE-GGA) for a relaxed AcTmN crystal.

Spin magnetization = 0.000 Bohr magnetons per cell
DOS at the Fermi energy = 1.02 states/eV per atom

Lattice parameters (Å, degrees): 3.6059 3.6059 6.6997 90.00 90.00 120.00
Space group P3m1 (No. 156)
Asymmetric unit:
Ac 0.0000 0.0000 0.0000 (multiplicity 1)
Tm 0.3333 0.6667 0.4314 (multiplicity 1)
N 0.6667 0.3333 0.2873 (multiplicity 1)


version C is preferred energetically. Next in line: 0.121 eV/atom higher.


Version A
Density functional theory data (PBE-GGA) for a relaxed AcUN crystal.

Spin magnetization = 3.340 Bohr magnetons per cell
DOS at the Fermi energy = 1.51 states/eV per atom

Lattice parameters (Å, degrees): 3.332 3.332 13.852 90.00 90.00 90.00
Space group I4mm (No. 107)
Asymmetric unit:
Ac 0.000 0.000 0.000 (multiplicity 2)
U 0.000 0.000 0.291 (multiplicity 2)
N 0.000 0.000 0.804 (multiplicity 2)


Version B
Density functional theory data (PBE-GGA) for a relaxed AcUN crystal.

Spin magnetization = 2.927 Bohr magnetons per cell
DOS at the Fermi energy = 2.72 states/eV per atom

Lattice parameters (Å, degrees): 3.6923 3.6923 6.3041 90.00 90.00 120.00
Space group P3m1 (No. 156)
Asymmetric unit:
Ac 0.0000 0.0000 0.0000 (multiplicity 1)
U 0.6667 0.3333 0.5355 (multiplicity 1)
N 0.3333 0.6667 0.6680 (multiplicity 1)


version B is preferred energetically. Next in line: 0.117 eV/atom higher.